Entry 1:
This record from Alexandria via LeMat-Bulk describes crystalline ZrIrOF2 at its relaxed geometry. The functional is PBEsol.

The structure in POSCAR format:
```
ZrIrOF2
1.0
4.346 0.000 0.000
0.000 4.346 0.000
0.000 0.000 3.776
Zr Ir O F
1 1 1 2
Cartesian
0.000 0.000 0.000
2.173 2.173 1.888
2.173 2.173 0.000
0.000 2.173 1.888
2.173 0.000 1.888
```

DOS at the Fermi energy (states/eV/cell): 4.7
E_form (uncorrected) (eV/atom): -0.436

---

Entry 2:
This record from Alexandria via LeMat-Bulk describes crystalline Ir2PbF at its relaxed geometry. The functional is PBEsol.

The structure in POSCAR format:
```
Ir2PbF
1.0
0.000 3.133 3.133
3.133 0.000 3.133
3.133 3.133 0.000
Ir Pb F
2 1 1
Cartesian
1.567 1.567 1.567
4.700 4.700 4.700
0.000 0.000 0.000
3.133 3.133 3.133
```

DOS at the Fermi energy (states/eV/cell): 5.6
E_form (uncorrected) (eV/atom): 0.521

---

Entry 3:
This record from Alexandria via LeMat-Bulk describes crystalline IrPbF2 at its relaxed geometry. The functional is PBEsol.

The structure in POSCAR format:
```
IrPbF2
1.0
0.000 3.093 3.093
3.093 0.000 3.093
3.093 3.093 0.000
Ir Pb F
1 1 2
Cartesian
0.000 0.000 0.000
3.093 3.093 3.093
1.547 1.547 1.547
4.640 4.640 4.640
```

DOS at the Fermi energy (states/eV/cell): 6.3
E_form (uncorrected) (eV/atom): -0.154

---

Entry 4:
This record from Alexandria via LeMat-Bulk describes crystalline Ir3PdF at its relaxed geometry. The functional is PBEsol.

The structure in POSCAR format:
```
Ir3PdF
1.0
4.712 0.000 0.000
0.000 4.712 0.000
0.000 0.000 4.712
Ir Pd F
3 1 1
Cartesian
0.000 0.000 2.356
0.000 2.356 0.000
2.356 0.000 0.000
0.000 0.000 0.000
2.356 2.356 2.356
```

DOS at the Fermi energy (states/eV/cell): 10.7
E_form (uncorrected) (eV/atom): 2.456

---

Entry 5:
This record from Alexandria via LeMat-Bulk describes crystalline IrPd2F at its relaxed geometry. The functional is PBEsol.

The structure in POSCAR format:
```
IrPd2F
1.0
-3.182 3.182 2.810
3.182 -3.182 2.810
3.182 3.182 -2.810
Ir Pd F
2 4 2
Cartesian
0.000 0.000 0.000
0.000 3.182 1.405
1.591 1.785 -0.702
4.578 1.591 0.702
1.591 1.397 2.107
-1.397 1.591 3.512
3.182 0.000 1.405
0.000 0.000 2.810
```

DOS at the Fermi energy (states/eV/cell): 12.2
E_form (uncorrected) (eV/atom): 0.381

---

Entry 6:
This record from Alexandria via LeMat-Bulk describes crystalline SbIr2PdF at its relaxed geometry. The functional is PBEsol.

The structure in POSCAR format:
```
SbIr2PdF
1.0
4.850 0.000 0.000
0.000 4.850 0.000
0.000 0.000 3.997
Sb Ir Pd F
1 2 1 1
Cartesian
0.000 0.000 0.000
0.000 2.425 0.000
2.425 0.000 0.000
2.425 2.425 1.999
0.000 0.000 1.999
```

DOS at the Fermi energy (states/eV/cell): 6.2
E_form (uncorrected) (eV/atom): 0.837